Compound: TbYInPb
Source: Alexandria
Functional: PBE-GGA
Structure: relaxed

Summary:
The calculation puts the energy above the lowest structure with this stoichiometry at 16 kJ/mol of formula units. The calculation puts the formation enthalpy at 0 K at -0.42 eV per atom.

a b c (Å): 5.403 5.403 5.403
angles (deg): 60.00 60.00 60.00
Sites, in units of the cell vectors:
1 Pb 0.250 0.250 0.250
2 In 0.750 0.750 0.750
3 Tb 0.500 0.500 0.500
4 Y 0.000 0.000 0.000



Compound: AgAsBr2
Source: Alexandria
Functional: PBE-GGA
Structure: relaxed

Summary:
The calculation puts the energy above the lowest structure with this stoichiometry at 153 kJ/mol of formula units. The energy relative to the elements, uncorrected comes out at 25.1 kJ per mole of atoms.

a b c (Å): 8.796 8.796 8.796
angles (deg): 23.65 23.65 23.65
Sites, in units of the cell vectors:
1 As 0.750 0.750 0.750
2 Ag 0.250 0.250 0.250
3 Br 0.508 0.508 0.508
4 Br 0.992 0.992 0.992



Compound: SnMoBr2
Source: Alexandria
Functional: PBE-GGA
Structure: relaxed

Summary:
The calculation puts the energy above the lowest structure with this stoichiometry at 52 kJ/mol of formula units. The energy relative to the elements, uncorrected comes out at 21.6 kJ per mole of atoms.

a b c (Å): 9.231 9.231 7.067
angles (deg): 49.23 49.23 90.00
Site moments in Bohr magnetons follow the coordinates.
Sites, in units of the cell vectors:
1 Mo 0.250 0.750 0.500  1.60
2 Br 0.256 0.625 0.250  0.04
3 Br 0.494 0.125 0.250  0.04
4 Sn 0.000 0.000 0.000  -0.02
5 Sn 0.750 0.250 0.500  -0.02
6 Br 0.875 0.744 0.750  0.04
7 Br 0.375 0.506 0.750  0.04
8 Mo 0.500 0.500 0.000  1.60



Compound: La7Zn6
Source: Alexandria
Functional: PBE-GGA
Structure: relaxed

Summary:
The calculation puts the formation enthalpy at 0 K at 0.15 eV per atom.

a b c (Å): 9.601 9.601 9.601
angles (deg): 43.48 43.48 43.48
Sites, in units of the cell vectors:
1 La 0.398 0.398 0.935
2 La 0.065 0.602 0.602
3 La 0.602 0.065 0.602
4 Zn 0.662 0.662 0.662
5 La 0.398 0.935 0.398
6 La 0.935 0.398 0.398
7 La 0.500 0.500 0.500
8 Zn 0.952 0.952 0.952
9 Zn 0.143 0.143 0.143
10 La 0.602 0.602 0.065
11 Zn 0.857 0.857 0.857
12 Zn 0.338 0.338 0.338
13 Zn 0.048 0.048 0.048



Compound: Li3Cd6In2
Source: Alexandria
Functional: PBE-GGA
Structure: relaxed

Summary:
The calculation puts the energy above the lowest structure with this stoichiometry at 0 kJ/mol of formula units. The calculation puts the formation enthalpy at 0 K at -0.14 eV per atom.

a b c (Å): 6.596 8.663 13.569
angles (deg): 33.58 88.42 116.13
Sites, in units of the cell vectors:
1 Cd 0.173 0.795 0.652
2 Li 0.086 0.902 0.819
3 Cd 0.717 0.294 0.536
4 Cd 0.387 0.641 0.273
5 In 0.534 0.452 0.911
6 Cd 0.283 0.706 0.464
7 Cd 0.827 0.205 0.348
8 Cd 0.613 0.359 0.727
9 In 0.466 0.548 0.089
10 Li 0.914 0.098 0.181
11 Li 0.000 0.000 0.000



Compound: YHo3Ru
Source: Alexandria
Functional: PBE-GGA
Structure: relaxed

Summary:
The calculation puts the energy above the lowest structure with this stoichiometry at 3 kJ/mol of formula units. The calculation puts the formation enthalpy at 0 K at -0.14 eV per atom.

a b c (Å): 4.870 6.495 9.636
angles (deg): 90.00 90.00 112.33
Sites, in units of the cell vectors:
1 Y 0.636 0.275 0.250
2 Y 0.364 0.725 0.750
3 Ho 0.132 0.269 0.500
4 Ho 0.868 0.731 0.500
5 Ho 0.365 0.727 0.250
6 Ho 0.868 0.731 0.000
7 Ho 0.635 0.273 0.750
8 Ru 0.998 0.995 0.250
9 Ru 0.002 0.005 0.750
10 Ho 0.132 0.269 0.000



Compound: VNiPt
Source: Alexandria
Functional: PBE-GGA
Structure: relaxed

Summary:
The calculation puts the energy above the lowest structure with this stoichiometry at 37 kJ/mol of formula units. The calculation puts the formation enthalpy at 0 K at -0.22 eV per atom.

a b c (Å): 2.645 4.362 4.362
angles (deg): 60.69 72.33 72.33
Sites, in units of the cell vectors:
1 V 0.888 0.728 0.518
2 Ni 0.069 0.044 0.835
3 Pt 0.253 0.361 0.152



Compound: MnB2Cl
Source: Alexandria
Functional: PBE-GGA
Structure: relaxed

Summary:
The calculation puts the energy above the lowest structure with this stoichiometry at 0 kJ/mol of formula units. The energy relative to the elements, uncorrected comes out at 110.8 kJ per mole of atoms.

a b c (Å): 4.982 4.982 5.692
angles (deg): 64.05 64.05 90.00
Site moments in Bohr magnetons follow the coordinates.
Sites, in units of the cell vectors:
1 Mn 0.000 0.000 0.000  1.43
2 Cl 0.250 0.750 0.500  0.04
3 Mn 0.750 0.250 0.500  1.43
4 B 0.875 0.919 0.750  -0.08
5 Cl 0.500 0.500 0.000  0.04
6 B 0.375 0.331 0.750  -0.08
7 B 0.669 0.125 0.250  -0.08
8 B 0.081 0.625 0.250  -0.08



Ordered D(E_F) results: 3.2; 3.1; 5.3; 13.5; 4.1; 8.5; 3.4; 4.9; unit states/eV per cell.
Ordered raw total energy results: -4.810; -2.452; -4.321; -3.093; -1.655; -6.034; -7.204; -4.945; unit eV/atom.